(1)
This record from the Alexandria database describes BeAs2RuBr at its PBEsol-relaxed geometry. The functional is meta-GGA SCAN.

Relative energy among the computed polymorphs ... 0 meV per atom
Energy relative to the elements, uncorrected ... 0.8321 eV per atom
Energy ... -18.97 eV/atom

```
data_BeAs2RuBr
_cell_length_a 4.629
_cell_length_b 4.629
_cell_length_c 5.260
_cell_angle_alpha 90.00
_cell_angle_beta 90.00
_cell_angle_gamma 90.00
_symmetry_space_group_name_H-M 'P 4/m m m'
_symmetry_Int_Tables_number 123
_symmetry_space_group_name_Hall '-P 4 2'
loop_
_atom_site_label
_atom_site_fract_x
_atom_site_fract_y
_atom_site_fract_z
Be1 0.000 0.000 0.000
As1 0.000 0.500 0.500
Ru1 0.500 0.500 0.500
Br1 0.500 0.500 0.000
```

---

(2)
This record from the Alexandria database describes BeAsSe2Br at its PBEsol-relaxed geometry. The functional is meta-GGA SCAN.

Relative energy among the computed polymorphs ... 323 meV per atom
Energy relative to the elements, uncorrected ... 0.7536 eV per atom
Energy ... -16.08 eV/atom

```
data_BeAsSe2Br
_cell_length_a 4.986
_cell_length_b 4.986
_cell_length_c 5.054
_cell_angle_alpha 90.00
_cell_angle_beta 90.00
_cell_angle_gamma 90.00
_symmetry_space_group_name_H-M 'P 4/m m m'
_symmetry_Int_Tables_number 123
_symmetry_space_group_name_Hall '-P 4 2'
loop_
_atom_site_label
_atom_site_fract_x
_atom_site_fract_y
_atom_site_fract_z
Be1 0.000 0.000 0.000
As1 0.500 0.500 0.500
Se1 0.000 0.500 0.500
Br1 0.500 0.500 0.000
```

---

What did the second record say?
This record from the Alexandria database describes BeAsSe2Br at its PBEsol-relaxed geometry. The functional is meta-GGA SCAN.

Relative energy among the computed polymorphs ... 323 meV per atom
Energy relative to the elements, uncorrected ... 0.7536 eV per atom
Energy ... -16.08 eV/atom

```
data_BeAsSe2Br
_cell_length_a 4.986
_cell_length_b 4.986
_cell_length_c 5.054
_cell_angle_alpha 90.00
_cell_angle_beta 90.00
_cell_angle_gamma 90.00
_symmetry_space_group_name_H-M 'P 4/m m m'
_symmetry_Int_Tables_number 123
_symmetry_space_group_name_Hall '-P 4 2'
loop_
_atom_site_label
_atom_site_fract_x
_atom_site_fract_y
_atom_site_fract_z
Be1 0.000 0.000 0.000
As1 0.500 0.500 0.500
Se1 0.000 0.500 0.500
Br1 0.500 0.500 0.000
```